(1)
# ScIn2Mo

A geometry-optimized ScIn2Mo structure (PBE, the Alexandria database).

The calculated density is 7.52 g/cm³. For the total magnetization, the calculation gives 0.0 μB per cell. The formation energy comes out at 0.14 eV per atom. The calculation puts the relative energy among the computed polymorphs at 0.77 eV/f.u. Its crystal system is monoclinic. The value obtained for the total energy is -5.523 eV/atom.

The space group is P2/m (No. 10) and the conventional cell measures 5.283, 3.057 and 5.460 Å, with angles of 90.00, 111.84 and 90.00 degrees. The asymmetric unit holds Sc at (0.000, 0.000, 0.000), In at (0.500, 0.000, 0.500), In at (0.500, 0.500, 0.000) and Mo at (0.000, 0.500, 0.500).

***

(2)
# Na2Li2Ca

A geometry-optimized Na2Li2Ca structure (PBE, the Alexandria database).

The calculated density is 1.06 g/cm³. For the total magnetization, the calculation gives 0.0 μB per cell. The formation energy comes out at 0.09 eV per atom. The calculation puts the relative energy among the computed polymorphs at 0.14 eV/f.u. Its crystal system is tetragonal. The value obtained for the total energy is -1.607 eV/atom.

The space group is P4/mbm (No. 127) and the conventional cell measures 9.209, 9.209 and 3.683 Å, with angles of 90.00, 90.00 and 90.00 degrees. The asymmetric unit holds Na at (0.170, 0.330, 0.000), Li at (0.125, 0.625, 0.500) and Ca at (0.000, 0.000, 0.500).